1.
NdLuTl (PBE, optimized geometry); relative energy among the computed polymorphs = 43 meV per atom; V = 90.80 Å³ per cell; crystal system = trigonal; calculated formation energy = -0.166 eV/atom; M_tot = 0.00 μB per formula unit; space-group type = P3m1
1.0
5.253 0.000 0.000
-2.626 4.549 0.000
0.000 0.000 3.800
Nd Lu Tl
1 1 1
Direct
0.000 0.000 0.000 Nd
0.333 0.667 0.511 Lu
0.667 0.333 0.470 Tl


2.
Mn3NiS6 (PBE, optimized geometry); V = 335.70 Å³ per cell; crystal system = orthorhombic; raw formation energy = -0.361 eV/atom; M_tot = 9.00 μB per formula unit; space-group type = Cmc2_1
1.0
4.731 -5.793 0.000
4.731 5.793 0.000
0.000 0.000 6.124
Mn Ni S
6 2 12
Direct
0.104 0.896 0.500 Mn
0.190 0.420 0.411 Mn
0.420 0.190 0.911 Mn
0.580 0.810 0.411 Mn
0.810 0.580 0.911 Mn
0.896 0.104 0.000 Mn
0.306 0.694 0.916 Ni
0.694 0.306 0.416 Ni
0.077 0.601 0.692 S
0.143 0.192 0.707 S
0.192 0.143 0.207 S
0.275 0.725 0.263 S
0.399 0.923 0.692 S
0.495 0.505 0.947 S
0.505 0.495 0.447 S
0.601 0.077 0.192 S
0.725 0.275 0.763 S
0.808 0.857 0.707 S
0.857 0.808 0.207 S
0.923 0.399 0.192 S


3.
Y3CdO (PBE, optimized geometry); relative energy among the computed polymorphs = 65 meV per atom; V = 237.41 Å³ per cell; crystal system = orthorhombic; raw formation energy = -1.272 eV/atom; M_tot = 0.00 μB per formula unit; space-group type = Pmmn
1.0
4.066 0.000 0.000
0.000 5.045 0.000
0.000 0.000 11.574
Y Cd O
6 2 2
Direct
0.250 0.250 0.024 Y
0.250 0.250 0.465 Y
0.250 0.750 0.252 Y
0.750 0.250 0.748 Y
0.750 0.750 0.535 Y
0.750 0.750 0.976 Y
0.250 0.750 0.765 Cd
0.750 0.250 0.235 Cd
0.250 0.750 0.449 O
0.750 0.250 0.551 O


4.
Ba3AcRe2N6 (PBE, optimized geometry); V = 272.22 Å³ per cell; crystal system = trigonal; raw formation energy = -0.718 eV/atom; M_tot = 0.00 μB per formula unit; space-group type = P-3m1
1.0
6.434 0.000 0.000
-3.217 5.572 0.000
0.000 0.000 7.594
Ba Ac Re N
3 1 2 6
Direct
0.000 0.000 0.000 Ba
0.333 0.667 0.737 Ba
0.667 0.333 0.263 Ba
0.000 0.000 0.500 Ac
0.333 0.667 0.238 Re
0.667 0.333 0.762 Re
0.172 0.344 0.272 N
0.172 0.828 0.272 N
0.344 0.172 0.728 N
0.656 0.828 0.272 N
0.828 0.172 0.728 N
0.828 0.656 0.728 N


5.
PrSmAlSn (PBE, optimized geometry); relative energy among the computed polymorphs = 164 meV per atom; V = 442.80 Å³ per cell; crystal system = cubic; calculated formation energy = -0.444 eV/atom; M_tot = 0.00 μB per formula unit; space-group type = F-43m
1.0
7.622 0.000 0.000
0.000 7.622 0.000
0.000 0.000 7.622
Pr Sm Al Sn
4 4 4 4
Direct
0.000 0.000 0.000 Pr
0.000 0.500 0.500 Pr
0.500 0.000 0.500 Pr
0.500 0.500 0.000 Pr
0.000 0.000 0.500 Sm
0.000 0.500 0.000 Sm
0.500 0.000 0.000 Sm
0.500 0.500 0.500 Sm
0.250 0.250 0.750 Al
0.250 0.750 0.250 Al
0.750 0.250 0.250 Al
0.750 0.750 0.750 Al
0.250 0.250 0.250 Sn
0.250 0.750 0.750 Sn
0.750 0.250 0.750 Sn
0.750 0.750 0.250 Sn


6.
Y2Ho3 (PBE, optimized geometry); V = 348.83 Å³ per cell; crystal system = monoclinic; calculated formation energy = 0.419 eV/atom; M_tot = 0.00 μB per formula unit; space-group type = C2/m
1.0
3.349 -11.087 0.000
3.349 11.087 0.000
-2.755 0.000 4.697
Y Ho
4 6
Direct
0.000 0.500 0.000 Y
0.130 0.870 0.000 Y
0.500 0.000 0.000 Y
0.870 0.130 0.000 Y
0.212 0.436 0.662 Ho
0.287 0.287 0.120 Ho
0.436 0.212 0.662 Ho
0.564 0.788 0.338 Ho
0.713 0.713 0.880 Ho
0.788 0.564 0.338 Ho


7.
Zr3BiAu (PBE, optimized geometry); relative energy among the computed polymorphs = 0 meV per atom; V = 460.10 Å³ per cell; crystal system = monoclinic; calculated formation energy = -0.272 eV/atom; M_tot = 0.00 μB per formula unit; space-group type = C2/c
1.0
7.337 -4.029 0.000
7.337 4.029 0.000
-6.546 0.000 7.781
Zr Bi Au
12 4 4
Direct
0.043 0.769 0.893 Zr
0.073 0.335 0.550 Zr
0.139 0.580 0.203 Zr
0.231 0.957 0.607 Zr
0.335 0.073 0.050 Zr
0.420 0.861 0.297 Zr
0.580 0.139 0.703 Zr
0.665 0.927 0.950 Zr
0.769 0.043 0.393 Zr
0.861 0.420 0.797 Zr
0.927 0.665 0.450 Zr
0.957 0.231 0.107 Zr
0.323 0.356 0.926 Bi
0.356 0.323 0.426 Bi
0.644 0.677 0.574 Bi
0.677 0.644 0.074 Bi
0.020 0.980 0.250 Au
0.337 0.663 0.750 Au
0.663 0.337 0.250 Au
0.980 0.020 0.750 Au


8.
Pa2Ir3Rh3 (PBE, optimized geometry); V = 135.16 Å³ per cell; crystal system = orthorhombic; calculated formation energy = -0.879 eV/atom; M_tot = 0.00 μB per formula unit; space-group type = Pmmm
1.0
4.072 0.000 0.000
0.000 4.075 0.000
0.000 0.000 8.146
Pa Ir Rh
2 3 3
Direct
0.000 0.000 0.249 Pa
0.000 0.000 0.751 Pa
0.000 0.500 0.500 Ir
0.500 0.500 0.251 Ir
0.500 0.500 0.749 Ir
0.000 0.500 0.000 Rh
0.500 0.000 0.000 Rh
0.500 0.000 0.500 Rh


9.
SrTl2Re2 (PBE, optimized geometry); relative energy among the computed polymorphs = 158 meV per atom; V = 250.02 Å³ per cell; crystal system = tetragonal; calculated formation energy = 0.615 eV/atom; M_tot = 0.00 μB per formula unit; space-group type = I4/mmm
1.0
5.030 0.000 0.000
0.000 5.030 0.000
0.000 0.000 9.883
Sr Tl Re
2 4 4
Direct
0.000 0.000 0.000 Sr
0.500 0.500 0.500 Sr
0.000 0.500 0.250 Tl
0.000 0.500 0.750 Tl
0.500 0.000 0.250 Tl
0.500 0.000 0.750 Tl
0.000 0.000 0.387 Re
0.000 0.000 0.613 Re
0.500 0.500 0.113 Re
0.500 0.500 0.887 Re


10.
Eu2TlHg (PBE, optimized geometry); V = 122.38 Å³ per cell; crystal system = tetragonal; calculated formation energy = -0.492 eV/atom; M_tot = 14.12 μB per formula unit; space-group type = P4/mmm
1.0
3.928 0.000 0.000
0.000 3.928 0.000
0.000 0.000 7.932
Eu Tl Hg
2 1 1
Direct
0.000 0.000 0.244 Eu
0.000 0.000 0.756 Eu
0.500 0.500 0.500 Tl
0.500 0.500 0.000 Hg


11.
Ba3Li5Zn6 (PBE, optimized geometry); V = 350.29 Å³ per cell; crystal system = orthorhombic; calculated formation energy = -0.134 eV/atom; M_tot = 0.00 μB per formula unit; space-group type = Immm
1.0
-2.245 5.591 6.977
2.245 -5.591 6.977
2.245 5.591 -6.977
Ba Li Zn
3 5 6
Direct
0.000 0.000 0.000 Ba
0.309 0.309 0.000 Ba
0.691 0.691 0.000 Ba
0.007 0.311 0.696 Li
0.385 0.689 0.696 Li
0.500 0.000 0.500 Li
0.615 0.311 0.304 Li
0.993 0.689 0.304 Li
0.182 0.898 0.283 Zn
0.281 0.500 0.781 Zn
0.385 0.102 0.283 Zn
0.615 0.898 0.717 Zn
0.719 0.500 0.219 Zn
0.818 0.102 0.717 Zn


12.
Li2LaSm2In2 (PBE, optimized geometry); V = 193.30 Å³ per cell; crystal system = trigonal; calculated formation energy = -0.256 eV/atom; M_tot = 0.00 μB per formula unit; space-group type = R-3m
1.0
2.490 1.438 9.000
-2.490 1.438 9.000
0.000 -2.875 9.000
Li La Sm In
2 1 2 2
Direct
0.097 0.097 0.097 Li
0.903 0.903 0.903 Li
0.500 0.500 0.500 La
0.372 0.372 0.372 Sm
0.628 0.628 0.628 Sm
0.240 0.240 0.240 In
0.760 0.760 0.760 In


13.
SrNiHg2 (PBE, optimized geometry); V = 207.20 Å³ per cell; crystal system = orthorhombic; calculated formation energy = -0.063 eV/atom; M_tot = 0.00 μB per formula unit; space-group type = Imm2
1.0
4.942 0.000 0.000
0.000 5.698 0.000
0.000 0.000 7.357
Sr Ni Hg
2 2 4
Direct
0.000 0.000 0.000 Sr
0.500 0.500 0.500 Sr
0.000 0.500 0.158 Ni
0.500 0.000 0.658 Ni
0.000 0.000 0.548 Hg
0.000 0.500 0.789 Hg
0.500 0.000 0.289 Hg
0.500 0.500 0.048 Hg


14.
ZrAl2Zn (PBE, optimized geometry); V = 72.61 Å³ per cell; crystal system = orthorhombic; calculated formation energy = -0.261 eV/atom; M_tot = 0.00 μB per formula unit; space-group type = Pmmm
1.0
3.066 0.000 0.000
0.000 4.313 0.000
0.000 0.000 5.492
Zr Al Zn
1 2 1
Direct
0.000 0.000 0.000 Zr
0.500 0.500 0.243 Al
0.500 0.500 0.757 Al
0.500 0.000 0.500 Zn


15.
Na3Zr2AuSe6 (PBE, optimized geometry); V = 290.94 Å³ per cell; crystal system = monoclinic; raw formation energy = -1.069 eV/atom; M_tot = 0.00 μB per formula unit; space-group type = C2/m
1.0
9.154 -1.959 0.000
9.154 1.959 0.000
-1.584 0.000 8.113
Na Zr Au Se
3 2 1 6
Direct
0.000 0.000 0.000 Na
0.355 0.355 0.658 Na
0.645 0.645 0.342 Na
0.331 0.331 0.173 Zr
0.669 0.669 0.827 Zr
0.000 0.000 0.500 Au
0.170 0.170 0.065 Se
0.190 0.190 0.622 Se
0.477 0.477 0.269 Se
0.523 0.523 0.731 Se
0.810 0.810 0.378 Se
0.830 0.830 0.935 Se


16.
TbThP2 (PBE, optimized geometry); relative energy among the computed polymorphs = 0 meV per atom; V = 289.50 Å³ per cell; crystal system = trigonal; calculated formation energy = -1.588 eV/atom; M_tot = 0.00 μB per formula unit; space-group type = R-3m
1.0
4.097 0.000 0.000
-2.049 3.548 0.000
0.000 0.000 19.914
Tb Th P
3 3 6
Direct
0.000 0.000 0.000 Tb
0.333 0.667 0.667 Tb
0.667 0.333 0.333 Tb
0.000 0.000 0.500 Th
0.333 0.667 0.167 Th
0.667 0.333 0.833 Th
0.000 0.000 0.252 P
0.000 0.000 0.748 P
0.333 0.667 0.415 P
0.333 0.667 0.918 P
0.667 0.333 0.082 P
0.667 0.333 0.585 P


17.
CsCd3Ru (PBE, optimized geometry); relative energy among the computed polymorphs = 0 meV per atom; V = 155.19 Å³ per cell; crystal system = cubic; calculated formation energy = 0.220 eV/atom; M_tot = 0.00 μB per formula unit; space-group type = Pm-3m
1.0
5.374 0.000 0.000
0.000 5.374 0.000
0.000 0.000 5.374
Cs Cd Ru
1 3 1
Direct
0.000 0.000 0.000 Cs
0.000 0.500 0.500 Cd
0.500 0.000 0.500 Cd
0.500 0.500 0.000 Cd
0.500 0.500 0.500 Ru


18.
Na3TeH (PBE, optimized geometry); relative energy among the computed polymorphs = 69 meV per atom; V = 284.75 Å³ per cell; crystal system = hexagonal; M_tot = 0.00 μB per formula unit; space-group type = P6_3/mmc
1.0
5.060 0.000 0.000
-2.530 4.382 0.000
0.000 0.000 12.843
Na Te H
6 2 2
Direct
0.000 0.000 0.250 Na
0.000 0.000 0.750 Na
0.333 0.667 0.082 Na
0.333 0.667 0.418 Na
0.667 0.333 0.582 Na
0.667 0.333 0.918 Na
0.000 0.000 0.000 Te
0.000 0.000 0.500 Te
0.333 0.667 0.250 H
0.667 0.333 0.750 H


19.
GaAsPBr2 (PBE, optimized geometry); relative energy among the computed polymorphs = 0 meV per atom; V = 137.20 Å³ per cell; crystal system = tetragonal; raw formation energy = 0.248 eV/atom; M_tot = 0.31 μB per formula unit; space-group type = P4/mmm
1.0
5.351 0.000 0.000
0.000 5.351 0.000
0.000 0.000 4.791
Ga As P Br
1 1 1 2
Direct
0.000 0.000 0.000 Ga
0.500 0.500 0.000 As
0.500 0.500 0.500 P
0.000 0.500 0.500 Br
0.500 0.000 0.500 Br


20.
DyScGaIr (PBE, optimized geometry); V = 315.75 Å³ per cell; crystal system = cubic; calculated formation energy = -0.705 eV/atom; M_tot = 0.00 μB per formula unit; space-group type = F-43m
1.0
6.809 0.000 0.000
0.000 6.809 0.000
0.000 0.000 6.809
Dy Sc Ga Ir
4 4 4 4
Direct
0.000 0.000 0.000 Dy
0.000 0.500 0.500 Dy
0.500 0.000 0.500 Dy
0.500 0.500 0.000 Dy
0.000 0.000 0.500 Sc
0.000 0.500 0.000 Sc
0.500 0.000 0.000 Sc
0.500 0.500 0.500 Sc
0.250 0.250 0.750 Ga
0.250 0.750 0.250 Ga
0.750 0.250 0.250 Ga
0.750 0.750 0.750 Ga
0.250 0.250 0.250 Ir
0.250 0.750 0.750 Ir
0.750 0.250 0.750 Ir
0.750 0.750 0.250 Ir